<A>
AcNd2Y5 PBE-GGA optimized geometry; mass density = 5.79 Mg/m³
1.0
-0.499 -1.742 4.838
3.430 -6.159 -1.863
12.811 6.073 3.509
Y Nd Ac
10 4 2
direct
0.500 0.751 0.627 Y
0.000 0.996 0.247 Y
0.000 0.504 0.747 Y
0.500 0.251 0.873 Y
0.000 0.500 0.500 Y
0.500 0.749 0.127 Y
0.500 0.249 0.373 Y
0.000 0.000 0.000 Y
0.000 0.496 0.253 Y
0.000 0.004 0.753 Y
0.500 0.244 0.128 Nd
0.500 0.756 0.872 Nd
0.500 0.256 0.628 Nd
0.500 0.744 0.372 Nd
0.000 0.000 0.500 Ac
0.000 0.500 0.000 Ac


<B>
AcNd2Y5 PBE-GGA optimized geometry; mass density = 5.83 Mg/m³
1.0
7.329 0.000 0.000
0.000 7.283 0.000
0.000 0.000 20.481
Y Ac Nd
20 4 8
direct
0.254 0.496 0.750 Y
0.000 0.753 0.375 Y
0.254 0.500 0.500 Y
0.746 0.000 0.000 Y
0.254 0.996 0.750 Y
0.254 0.000 0.000 Y
0.254 0.504 0.250 Y
0.500 0.252 0.125 Y
0.500 0.248 0.625 Y
0.000 0.253 0.125 Y
0.500 0.748 0.875 Y
0.000 0.247 0.625 Y
0.746 0.496 0.750 Y
0.500 0.752 0.375 Y
0.746 0.996 0.750 Y
0.254 0.004 0.250 Y
0.000 0.747 0.875 Y
0.746 0.004 0.250 Y
0.746 0.504 0.250 Y
0.746 0.500 0.500 Y
0.000 0.747 0.626 Ac
0.000 0.753 0.126 Ac
0.000 0.247 0.874 Ac
0.000 0.253 0.374 Ac
0.254 0.500 0.000 Nd
0.500 0.753 0.126 Nd
0.500 0.253 0.374 Nd
0.500 0.247 0.874 Nd
0.746 0.000 0.500 Nd
0.746 0.500 0.000 Nd
0.254 0.000 0.500 Nd
0.500 0.747 0.626 Nd


Stability check: which of them is least stable? <A>.


<A>
Ac2Nd4Y3 PBE-GGA optimized geometry; mass density = 6.47 Mg/m³
1.0
3.741 0.000 0.000
-1.870 3.240 0.000
0.000 0.000 27.498
Y Nd Ac
3 4 2
direct
0.000 0.000 0.982 Y
0.667 0.333 0.649 Y
0.000 0.000 0.329 Y
0.000 0.000 0.753 Nd
0.667 0.333 0.226 Nd
0.000 0.000 0.543 Nd
0.667 0.333 0.435 Nd
0.667 0.333 0.091 Ac
0.667 0.333 0.870 Ac


<B>
Ac2Nd4Y3 PBE-GGA optimized geometry; mass density = 6.58 Mg/m³
1.0
-3.183 -3.922 -1.491
-0.337 -4.864 4.221
-7.365 3.025 7.753
Nd Y Ac
4 3 2
direct
0.001 0.998 0.337 Nd
0.999 0.002 0.663 Nd
0.334 0.332 0.112 Nd
0.666 0.668 0.888 Nd
0.664 0.673 0.554 Y
0.000 0.000 0.000 Y
0.336 0.327 0.446 Y
0.334 0.333 0.776 Ac
0.666 0.667 0.224 Ac


Stability check: which of them is least stable? <A>.


<A>
AcNd3Y7 PBE-GGA optimized geometry; mass density = 5.45 Mg/m³
1.0
-0.138 -5.537 3.601
3.400 -4.258 -5.514
7.370 0.721 2.295
Y Nd Ac
7 3 1
direct
0.260 0.425 0.081 Y
0.740 0.575 0.919 Y
0.800 0.234 0.234 Y
0.740 0.919 0.575 Y
0.200 0.766 0.766 Y
0.260 0.081 0.425 Y
0.000 0.500 0.500 Y
0.000 0.175 0.825 Nd
0.500 0.000 0.000 Nd
0.000 0.825 0.175 Nd
0.500 0.500 0.500 Ac


<B>
AcNd3Y7 PBE-GGA optimized geometry; mass density = 5.37 Mg/m³
1.0
-2.540 -2.995 7.925
6.300 -3.392 0.737
-0.734 6.768 2.322
Y Nd Ac
7 3 1
direct
0.116 0.166 0.332 Y
0.116 0.166 0.834 Y
0.446 0.832 0.665 Y
0.116 0.668 0.834 Y
0.446 0.832 0.168 Y
0.446 0.335 0.168 Y
0.121 0.667 0.333 Y
0.787 0.998 0.499 Nd
0.787 0.501 0.499 Nd
0.787 0.501 0.002 Nd
0.446 0.333 0.667 Ac


Stability check: which of them is least stable? <A>.


<A>
Ac6NdY PBE-GGA optimized geometry; mass density = 7.80 Mg/m³
1.0
5.989 0.000 2.243
1.420 7.523 5.325
0.031 2.341 9.035
Ac Nd Y
6 1 1
direct
0.880 0.586 0.654 Ac
0.120 0.414 0.346 Ac
0.251 0.796 0.702 Ac
0.620 0.844 0.916 Ac
0.380 0.156 0.084 Ac
0.749 0.204 0.298 Ac
0.000 0.000 0.000 Nd
0.500 0.500 0.500 Y


<B>
Ac6NdY PBE-GGA optimized geometry; mass density = 7.89 Mg/m³
1.0
5.516 0.000 0.000
0.000 5.516 0.000
0.000 0.000 11.035
Ac Y Nd
6 1 1
direct
0.000 0.500 0.251 Ac
0.500 0.000 0.251 Ac
0.000 0.500 0.749 Ac
0.500 0.500 0.500 Ac
0.500 0.000 0.749 Ac
0.500 0.500 0.000 Ac
0.000 0.000 0.500 Y
0.000 0.000 0.000 Nd


Stability check: which of them is least stable? <A>.


<A>
Ac12Nd5Y2 PBE-GGA optimized geometry; mass density = 7.54 Mg/m³
1.0
-4.604 10.296 -4.083
-4.352 -8.219 1.800
-3.297 1.882 8.465
Ac Nd Y
12 5 2
direct
0.586 0.173 0.292 Ac
0.414 0.827 0.708 Ac
0.156 0.780 0.390 Ac
0.132 0.264 0.871 Ac
0.985 0.365 0.191 Ac
0.380 0.365 0.191 Ac
0.624 0.780 0.390 Ac
0.015 0.635 0.809 Ac
0.868 0.736 0.129 Ac
0.844 0.220 0.610 Ac
0.376 0.220 0.610 Ac
0.620 0.635 0.809 Ac
0.767 0.534 0.530 Nd
0.374 0.749 0.110 Nd
0.233 0.466 0.470 Nd
0.000 0.000 0.500 Nd
0.626 0.251 0.890 Nd
0.735 0.000 0.000 Y
0.265 0.000 0.000 Y


<B>
Ac12Nd5Y2 PBE-GGA optimized geometry; mass density = 7.64 Mg/m³
1.0
-3.719 5.529 -0.306
-0.933 2.642 11.169
7.555 7.930 3.555
Nd Ac Y
5 12 2
direct
0.565 0.786 0.786 Nd
0.858 0.314 0.314 Nd
0.500 0.000 0.000 Nd
0.142 0.686 0.686 Nd
0.435 0.214 0.214 Nd
0.983 0.108 0.108 Ac
0.725 0.561 0.561 Ac
0.627 0.652 0.145 Ac
0.275 0.439 0.439 Ac
0.203 0.064 0.544 Ac
0.797 0.456 0.936 Ac
0.373 0.855 0.348 Ac
0.797 0.936 0.456 Ac
0.373 0.348 0.855 Ac
0.627 0.145 0.652 Ac
0.203 0.544 0.064 Ac
0.017 0.892 0.892 Ac
0.000 0.242 0.758 Y
0.000 0.758 0.242 Y


Stability check: which of them is least stable? <A>.


<A>
Ac8Nd2Y PBE-GGA optimized geometry; mass density = 7.08 Mg/m³
1.0
6.313 0.257 0.220
1.276 9.057 -0.569
1.276 0.842 9.035
Ac Y Nd
8 1 2
direct
0.202 0.859 0.343 Ac
0.202 0.343 0.859 Ac
0.798 0.141 0.657 Ac
0.291 0.416 0.416 Ac
0.709 0.584 0.584 Ac
0.117 0.732 0.732 Ac
0.883 0.268 0.268 Ac
0.798 0.657 0.141 Ac
0.000 0.000 0.000 Y
0.516 0.871 0.871 Nd
0.484 0.129 0.129 Nd


<B>
Ac8Nd2Y PBE-GGA optimized geometry; mass density = 7.88 Mg/m³
1.0
-4.385 -3.325 -0.811
-0.282 2.415 -8.369
8.139 -6.231 0.653
Ac Nd Y
8 2 1
direct
0.319 0.086 0.637 Ac
0.407 0.548 0.814 Ac
0.138 0.187 0.275 Ac
0.047 0.729 0.094 Ac
0.593 0.452 0.186 Ac
0.953 0.271 0.906 Ac
0.681 0.914 0.363 Ac
0.862 0.813 0.725 Ac
0.774 0.366 0.547 Nd
0.226 0.634 0.453 Nd
0.500 0.000 0.000 Y


Stability check: which of them is least stable? <A>.


<A>
AcNd3Y PBE-GGA optimized geometry; mass density = 6.75 Mg/m³
1.0
-1.747 1.695 -2.874
0.087 -8.745 -7.670
-7.317 -4.656 1.712
Nd Y Ac
6 2 2
direct
0.456 0.656 0.043 Nd
0.024 0.523 0.406 Nd
0.264 0.039 0.455 Nd
0.232 0.104 0.016 Nd
0.664 0.238 0.653 Nd
0.424 0.722 0.604 Nd
0.828 0.913 0.815 Y
0.860 0.848 0.244 Y
0.630 0.310 0.221 Ac
0.058 0.451 0.838 Ac


<B>
AcNd3Y PBE-GGA optimized geometry; mass density = 6.82 Mg/m³
1.0
-3.993 -3.053 1.591
-1.173 -2.127 -7.024
7.605 -6.105 -1.367
Y Nd Ac
2 6 2
direct
0.597 0.455 0.195 Y
0.403 0.545 0.805 Y
0.597 0.950 0.194 Nd
0.198 0.650 0.395 Nd
0.998 0.254 0.996 Nd
0.403 0.050 0.806 Nd
0.802 0.350 0.605 Nd
0.002 0.746 0.004 Nd
0.198 0.155 0.395 Ac
0.802 0.845 0.605 Ac


Stability check: which of them is least stable? <A>.


<A>
AcNd5Y PBE-GGA optimized geometry; mass density = 6.68 Mg/m³
1.0
-6.498 5.555 -2.067
-4.719 -6.794 -2.988
-4.792 -1.070 5.099
Nd Ac Y
10 2 2
direct
0.714 0.286 0.250 Nd
0.226 0.319 0.075 Nd
0.598 0.011 0.766 Nd
0.286 0.714 0.750 Nd
0.319 0.226 0.575 Nd
0.774 0.681 0.925 Nd
0.402 0.989 0.234 Nd
0.011 0.598 0.266 Nd
0.989 0.402 0.734 Nd
0.681 0.774 0.425 Nd
0.000 0.000 0.500 Ac
0.000 0.000 0.000 Ac
0.403 0.597 0.250 Y
0.597 0.403 0.750 Y


<B>
AcNd5Y PBE-GGA optimized geometry; mass density = 6.71 Mg/m³
1.0
6.573 0.235 -1.700
-1.538 6.395 -1.700
-0.341 -0.449 12.346
Ac Nd Y
2 10 2
direct
0.000 0.000 0.500 Ac
0.000 0.000 0.000 Ac
0.384 0.030 0.832 Nd
0.241 0.533 0.966 Nd
0.832 0.168 0.750 Nd
0.168 0.832 0.250 Nd
0.759 0.467 0.034 Nd
0.970 0.616 0.668 Nd
0.616 0.970 0.168 Nd
0.467 0.759 0.534 Nd
0.533 0.241 0.466 Nd
0.030 0.384 0.332 Nd
0.491 0.509 0.750 Y
0.509 0.491 0.250 Y


Stability check: which of them is least stable? <A>.